[1]
VASP calculation (PBE) on a geometry-optimized Li6P2Rh structure.

Unit cell a=6.410 b=6.410 c=8.514 alpha=90.00 beta=90.00 gamma=90.00
Atoms (fractional coordinates):
Li1 0.187 0.187 0.000
Li2 0.243 0.243 0.329
Li3 0.243 0.243 0.671
Li4 0.257 0.743 0.171
Li5 0.257 0.743 0.829
Li6 0.313 0.687 0.500
Li7 0.687 0.313 0.500
Li8 0.743 0.257 0.171
Li9 0.743 0.257 0.829
Li10 0.757 0.757 0.329
Li11 0.757 0.757 0.671
Li12 0.813 0.813 0.000
P1 0.000 0.000 0.227
P2 0.000 0.000 0.773
P3 0.500 0.500 0.273
P4 0.500 0.500 0.727
Rh1 0.000 0.000 0.500
Rh2 0.500 0.500 0.000

Its energy of formation from the pure elements is -390.8 meV/atom. The spin magnetization is 0.42 μB/f.u. As for the space-group type: P4_2/mnm. The value obtained for the energy above the most stable polymorph in this dataset is 8.2 kJ per mole of atoms.

[2]
VASP calculation (PBE) on a geometry-optimized KCaPd3 structure.

Unit cell a=5.088 b=5.088 c=5.088 alpha=90.00 beta=90.00 gamma=90.00
Atoms (fractional coordinates):
K1 0.000 0.000 0.000
Ca1 0.500 0.500 0.500
Pd1 0.000 0.000 0.500
Pd2 0.000 0.500 0.000
Pd3 0.500 0.000 0.000

Its energy of formation from the pure elements is 717.8 meV/atom. The spin magnetization is 0.00 μB/f.u. As for the space-group type: Pm-3m. The value obtained for the energy above the most stable polymorph in this dataset is 35.3 kJ per mole of atoms.

[3]
VASP calculation (PBE) on a geometry-optimized AcS3 structure.

Unit cell a=5.543 b=5.243 c=8.018 alpha=90.00 beta=110.14 gamma=90.00
Atoms (fractional coordinates):
Ac1 0.163 0.250 0.326
Ac2 0.837 0.750 0.674
S1 0.142 0.250 0.925
S2 0.218 0.750 0.075
S3 0.269 0.750 0.538
S4 0.731 0.250 0.462
S5 0.782 0.250 0.925
S6 0.858 0.750 0.075

The calculation puts the uncorrected formation energy at -1.301 eV per atom. The spin magnetization is 0.00 μB/f.u. As for the space-group type: P2_1/m.

[4]
VASP calculation (PBE) on a geometry-optimized Cd6InPb2 structure.

Unit cell a=6.987 b=6.987 c=6.346 alpha=90.59 beta=90.59 gamma=50.82
Atoms (fractional coordinates):
Cd1 0.146 0.646 0.626
Cd2 0.201 0.201 0.742
Cd3 0.354 0.854 0.374
Cd4 0.646 0.146 0.626
Cd5 0.799 0.799 0.258
Cd6 0.854 0.354 0.374
In1 0.000 0.000 0.000
Pb1 0.381 0.381 0.129
Pb2 0.619 0.619 0.871

Its energy of formation from the pure elements is 53.1 meV/atom. The spin magnetization is 0.00 μB/f.u. As for the space-group type: C2/m. The value obtained for the energy above the most stable polymorph in this dataset is 0.0 kJ per mole of atoms.

[5]
VASP calculation (PBE) on a geometry-optimized Pm6Zn2Ni structure.

Unit cell a=8.479 b=8.479 c=8.479 alpha=144.33 beta=130.78 gamma=62.25
Atoms (fractional coordinates):
Pm1 0.091 0.342 0.749
Pm2 0.236 0.000 0.236
Pm3 0.407 0.658 0.749
Pm4 0.593 0.342 0.251
Pm5 0.764 0.000 0.764
Pm6 0.909 0.658 0.251
Zn1 0.333 0.833 0.500
Zn2 0.667 0.167 0.500
Ni1 0.000 0.500 0.500

Its energy of formation from the pure elements is 10.8 meV/atom. The spin magnetization is 0.00 μB/f.u. As for the space-group type: Immm.

[6]
VASP calculation (PBE) on a geometry-optimized PmPrAgRu structure.

Unit cell a=3.530 b=3.530 c=7.769 alpha=90.00 beta=90.00 gamma=90.00
Atoms (fractional coordinates):
Pm1 0.000 0.000 0.000
Pr1 0.000 0.000 0.447
Ag1 0.500 0.500 0.731
Ru1 0.500 0.500 0.218

Its energy of formation from the pure elements is -244.8 meV/atom. The spin magnetization is 0.00 μB/f.u. As for the space-group type: P4mm. The value obtained for the energy above the most stable polymorph in this dataset is 0.0 kJ per mole of atoms.

Q: Look up the spin magnetization of the second one.
A: 0.00 μB/f.u.

Q: Which formula does entry 1 have?
A: Li6P2Rh